No. 1
# PBE LaPr6Tl, optimized geometry
data_LaPr6Tl
_chemical_formula_sum 'La1 Pr6 Tl1'
_symmetry_space_group_name_H-M 'P 1'
_symmetry_Int_Tables_number 1
_cell_length_a 9.160
_cell_length_b 9.155
_cell_length_c 6.494
_cell_angle_alpha 45.25
_cell_angle_beta 45.15
_cell_angle_gamma 60.06
loop_
_symmetry_equiv_pos_as_xyz
'x,y,z'
loop_
_atom_site_label
_atom_site_type_symbol
_atom_site_fract_x
_atom_site_fract_y
_atom_site_fract_z
_atom_site_occupancy
La1 La 0.500 0.500 0.500 1
Pr1 Pr 0.998 0.500 0.744 1
Pr2 Pr 0.758 0.998 0.744 1
Pr3 Pr 0.501 0.242 0.254 1
Pr4 Pr 0.242 0.002 0.256 1
Pr5 Pr 0.002 0.500 0.256 1
Pr6 Pr 0.499 0.758 0.746 1
Tl1 Tl 0.000 0.000 0.000 1
# Volume = 34.27 Å³/atom
# Final energy = -0.3306 Ry/atom
# Distance to the lowest polymorph of the same formula = 0.080 eV per atom
# Crystal system = triclinic
# Energy relative to the elements = -0.001 eV/atom

---

No. 2
# PBE LuZrAg2, optimized geometry
data_LuZrAg2
_chemical_formula_sum 'Lu1 Zr1 Ag2'
_symmetry_space_group_name_H-M 'P 1'
_symmetry_Int_Tables_number 1
_cell_length_a 3.420
_cell_length_b 3.420
_cell_length_c 7.342
_cell_angle_alpha 90.00
_cell_angle_beta 90.00
_cell_angle_gamma 90.00
loop_
_symmetry_equiv_pos_as_xyz
'x,y,z'
loop_
_atom_site_label
_atom_site_type_symbol
_atom_site_fract_x
_atom_site_fract_y
_atom_site_fract_z
_atom_site_occupancy
Lu1 Lu 0.500 0.500 0.000 1
Zr1 Zr 0.500 0.500 0.500 1
Ag1 Ag 0.000 0.000 0.748 1
Ag2 Ag 0.000 0.000 0.252 1
# Volume = 21.47 Å³/atom
# Final energy = -0.3545 Ry/atom
# Distance to the lowest polymorph of the same formula = 0.000 eV per atom
# Crystal system = tetragonal
# Energy relative to the elements = -0.130 eV/atom

---

No. 3
# PBE NaLi2GaH, optimized geometry
data_NaLi2GaH
_chemical_formula_sum 'Na1 Li2 Ga1 H1'
_symmetry_space_group_name_H-M 'P 1'
_symmetry_Int_Tables_number 1
_cell_length_a 5.309
_cell_length_b 3.557
_cell_length_c 5.309
_cell_angle_alpha 90.00
_cell_angle_beta 90.00
_cell_angle_gamma 90.00
loop_
_symmetry_equiv_pos_as_xyz
'x,y,z'
loop_
_atom_site_label
_atom_site_type_symbol
_atom_site_fract_x
_atom_site_fract_y
_atom_site_fract_z
_atom_site_occupancy
Na1 Na 0.500 0.500 0.500 1
H1 H 0.000 0.500 0.000 1
Ga1 Ga 0.000 0.000 0.000 1
Li1 Li 0.000 0.000 0.500 1
Li2 Li 0.500 0.000 0.000 1
# Volume = 20.05 Å³/atom
# Final energy = -0.1550 Ry/atom
# Distance to the lowest polymorph of the same formula = 0.284 eV per atom
# Crystal system = tetragonal

---

No. 4
# PBE SrZrAl2, optimized geometry
data_SrZrAl2
_chemical_formula_sum 'Sr1 Zr1 Al2'
_symmetry_space_group_name_H-M 'P 1'
_symmetry_Int_Tables_number 1
_cell_length_a 3.142
_cell_length_b 6.723
_cell_length_c 6.076
_cell_angle_alpha 50.55
_cell_angle_beta 90.00
_cell_angle_gamma 90.00
loop_
_symmetry_equiv_pos_as_xyz
'x,y,z'
loop_
_atom_site_label
_atom_site_type_symbol
_atom_site_fract_x
_atom_site_fract_y
_atom_site_fract_z
_atom_site_occupancy
Sr1 Sr 0.500 0.500 0.500 1
Al1 Al 0.000 0.000 0.000 1
Al2 Al 0.500 0.500 0.000 1
Zr1 Zr 0.000 0.000 0.500 1
# Volume = 24.78 Å³/atom
# Final energy = -0.3113 Ry/atom
# Distance to the lowest polymorph of the same formula = 0.411 eV per atom
# Crystal system = monoclinic
# Energy relative to the elements = 0.194 eV/atom

---

No. 5
# PBE ZrTaCdO6, optimized geometry
data_ZrTaCdO6
_chemical_formula_sum 'Zr2 Ta2 Cd2 O12'
_symmetry_space_group_name_H-M 'P 1'
_symmetry_Int_Tables_number 1
_cell_length_a 4.991
_cell_length_b 4.991
_cell_length_c 9.821
_cell_angle_alpha 90.00
_cell_angle_beta 90.00
_cell_angle_gamma 90.00
loop_
_symmetry_equiv_pos_as_xyz
'x,y,z'
loop_
_atom_site_label
_atom_site_type_symbol
_atom_site_fract_x
_atom_site_fract_y
_atom_site_fract_z
_atom_site_occupancy
Zr1 Zr 0.500 0.500 0.165 1
Zr2 Zr 0.000 0.000 0.665 1
Ta1 Ta 0.500 0.500 0.837 1
Ta2 Ta 0.000 0.000 0.337 1
Cd1 Cd 0.500 0.500 0.500 1
Cd2 Cd 0.000 0.000 0.000 1
O1 O 0.181 0.819 0.492 1
O2 O 0.819 0.181 0.492 1
O3 O 0.319 0.319 0.992 1
O4 O 0.681 0.681 0.992 1
O5 O 0.203 0.797 0.192 1
O6 O 0.797 0.203 0.192 1
O7 O 0.297 0.297 0.692 1
O8 O 0.703 0.703 0.692 1
O9 O 0.782 0.218 0.815 1
O10 O 0.218 0.782 0.815 1
O11 O 0.718 0.718 0.315 1
O12 O 0.282 0.282 0.315 1
# Volume = 13.59 Å³/atom
# Raw formation energy = -2345 meV/atom
# Final energy = -0.5894 Ry/atom
# Crystal system = tetragonal

---

No. 6
# PBE HfPaO, optimized geometry
data_HfPaO
_chemical_formula_sum 'Hf4 Pa4 O4'
_symmetry_space_group_name_H-M 'P 1'
_symmetry_Int_Tables_number 1
_cell_length_a 3.264
_cell_length_b 3.264
_cell_length_c 24.937
_cell_angle_alpha 90.00
_cell_angle_beta 90.00
_cell_angle_gamma 120.00
loop_
_symmetry_equiv_pos_as_xyz
'x,y,z'
loop_
_atom_site_label
_atom_site_type_symbol
_atom_site_fract_x
_atom_site_fract_y
_atom_site_fract_z
_atom_site_occupancy
O1 O 0.667 0.333 0.056 1
O2 O 0.333 0.667 0.944 1
O3 O 0.333 0.667 0.825 1
O4 O 0.667 0.333 0.175 1
Pa1 Pa 0.667 0.333 0.343 1
Pa2 Pa 0.667 0.333 0.895 1
Pa3 Pa 0.333 0.667 0.105 1
Pa4 Pa 0.333 0.667 0.657 1
Hf1 Hf 0.667 0.333 0.550 1
Hf2 Hf 0.333 0.667 0.450 1
Hf3 Hf 0.333 0.667 0.233 1
Hf4 Hf 0.667 0.333 0.767 1
# Volume = 19.17 Å³/atom
# Raw formation energy = -1368 meV/atom
# Final energy = -0.6985 Ry/atom
# Crystal system = trigonal

---

Q: Number 1 is which compound?
A: LaPr6Tl

---

Q: What is the final energy in the sixth record?
A: -0.6985 Ry/atom

---

Q: Which of these has the highest volume?
A: LaPr6Tl

---

Repeat the fifth record exactly.
# PBE ZrTaCdO6, optimized geometry
data_ZrTaCdO6
_chemical_formula_sum 'Zr2 Ta2 Cd2 O12'
_symmetry_space_group_name_H-M 'P 1'
_symmetry_Int_Tables_number 1
_cell_length_a 4.991
_cell_length_b 4.991
_cell_length_c 9.821
_cell_angle_alpha 90.00
_cell_angle_beta 90.00
_cell_angle_gamma 90.00
loop_
_symmetry_equiv_pos_as_xyz
'x,y,z'
loop_
_atom_site_label
_atom_site_type_symbol
_atom_site_fract_x
_atom_site_fract_y
_atom_site_fract_z
_atom_site_occupancy
Zr1 Zr 0.500 0.500 0.165 1
Zr2 Zr 0.000 0.000 0.665 1
Ta1 Ta 0.500 0.500 0.837 1
Ta2 Ta 0.000 0.000 0.337 1
Cd1 Cd 0.500 0.500 0.500 1
Cd2 Cd 0.000 0.000 0.000 1
O1 O 0.181 0.819 0.492 1
O2 O 0.819 0.181 0.492 1
O3 O 0.319 0.319 0.992 1
O4 O 0.681 0.681 0.992 1
O5 O 0.203 0.797 0.192 1
O6 O 0.797 0.203 0.192 1
O7 O 0.297 0.297 0.692 1
O8 O 0.703 0.703 0.692 1
O9 O 0.782 0.218 0.815 1
O10 O 0.218 0.782 0.815 1
O11 O 0.718 0.718 0.315 1
O12 O 0.282 0.282 0.315 1
# Volume = 13.59 Å³/atom
# Raw formation energy = -2345 meV/atom
# Final energy = -0.5894 Ry/atom
# Crystal system = tetragonal